[1]
Compound: Cr4B4W
Source: the Alexandria database
Functional: PBE-GGA
Structure: relaxed

Output
Space group ... P4_2/n
DFT formation energy ... -0.39 eV/f.u.
M_tot ... 0.000 μB/f.u.

a b c (Å): 6.7288 6.7288 4.1019
angles (deg): 90.00 90.00 90.00
Fractional coordinates of all 18 atoms:
Cr1 0.1090 0.6271 0.1167
Cr2 0.1271 0.8910 0.6167
Cr3 0.3729 0.6090 0.6167
Cr4 0.3910 0.8729 0.1167
Cr5 0.6090 0.1271 0.8833
Cr6 0.6271 0.3910 0.3833
Cr7 0.8729 0.1090 0.3833
Cr8 0.8910 0.3729 0.8833
B1 0.0507 0.5915 0.6188
B2 0.0915 0.9493 0.1188
B3 0.4085 0.5507 0.1188
B4 0.4493 0.9085 0.6188
B5 0.5507 0.0915 0.3812
B6 0.5915 0.4493 0.8812
B7 0.9085 0.0507 0.8812
B8 0.9493 0.4085 0.3812
W1 0.2500 0.2500 0.2500
W2 0.7500 0.7500 0.7500

---

[2]
Compound: Sr2DyUAs4
Source: the Alexandria database
Functional: PBE-GGA
Structure: relaxed

Output
Space group ... P2/m
DFT formation energy ... -9.17 eV/f.u.
M_tot ... 0.997 μB/f.u.

a b c (Å): 7.3166 4.2723 7.5240
angles (deg): 90.00 108.91 90.00
Fractional coordinates of all 8 atoms:
Sr1 0.0000 0.0000 0.0000
Sr2 0.5000 0.5000 0.0000
Dy1 0.0000 0.5000 0.5000
U1 0.5000 0.0000 0.5000
As1 0.2506 0.0000 0.7179
As2 0.2695 0.5000 0.2851
As3 0.7305 0.5000 0.7149
As4 0.7494 0.0000 0.2821

---

Question: The lowest M_tot belongs to which entry?
Answer: Cr4B4W